NaYTlCd | GGA-PBE | optimized geometry

Output
The calculation puts the magnetization at 0.000 μB per atom. The value obtained for the distance to the lowest polymorph of the same formula is 0.0 meV per atom. The calculation puts the energy relative to the elements at -0.99 eV/f.u. The value obtained for the density of states at the Fermi level is 0.5438 states/eV per atom.

Unit cell a=3.7124 b=5.2963 c=5.3977 alpha=90.00 beta=90.00 gamma=90.00
Space group Pmmm (No. 47)
Asymmetric unit:
Na  0.0000  0.0000  0.0000 x1
Y  0.0000  0.5000  0.5000 x1
Tl  0.5000  0.0000  0.5000 x1
Cd  0.5000  0.5000  0.0000 x1